(1)
K4MoPt, relaxed, DFT PBE; symmetry = F-43m (216); E_form = 1.194 eV per atom; DOS at the Fermi energy = 3.344 states/eV/cell; energy = -2.350 eV/atom
1.0
0.0000 4.7133 4.7133
4.7133 0.0000 4.7133
4.7133 4.7133 0.0000
K Mo Pt
4 1 1
Cartesian
5.9064 5.9064 3.5203
3.5203 3.5203 3.5203
3.5203 5.9064 5.9064
5.9064 3.5203 5.9064
7.0700 7.0700 7.0700
0.0000 0.0000 0.0000


(2)
KMoPt2, relaxed, DFT PBE; symmetry = F-43m (216); E_form = 0.844 eV per atom; DOS at the Fermi energy = 4.092 states/eV/cell; energy = -5.159 eV/atom; energy above the most stable polymorph in this dataset = 861 meV per atom
1.0
-3.8949 1.6926 -1.8666
-3.8156 -2.6315 -0.1888
-3.6334 0.9852 2.7105
K Pt Mo
1 2 1
Cartesian
-5.6720 0.0231 0.3275
-2.8360 0.0116 0.1638
0.0000 0.0000 0.0000
-8.5079 0.0347 0.4913


(3)
K2Mo2Pt, relaxed, DFT PBE; symmetry = I4/mmm (139); E_form = 1.336 eV per atom; DOS at the Fermi energy = 5.168 states/eV/cell; energy = -4.644 eV/atom; energy above the most stable polymorph in this dataset = 543 meV per atom
1.0
-3.2466 -1.9112 -1.0275
1.1669 -3.0967 2.0730
-4.6884 0.3210 6.7965
Pt K Mo
1 2 2
Cartesian
0.0000 0.0000 0.0000
-2.2807 -2.6398 4.6961
-4.4874 -2.0471 3.1459
-1.5223 -2.1304 1.3523
-5.2458 -2.5565 6.4898


(4)
K2MoPt, relaxed, DFT PBE; symmetry = Imm2 (44); E_form = 0.781 eV per atom; DOS at the Fermi energy = 4.244 states/eV/cell; energy = -3.985 eV/atom; energy above the most stable polymorph in this dataset = 325 meV per atom
1.0
-2.6401 2.1496 5.3455
-3.6152 -4.5220 2.5782
5.9964 1.1252 -1.7155
K Pt Mo
2 1 1
Cartesian
-0.2162 -0.0820 0.2738
0.2396 1.0918 3.6373
-0.7485 -2.4338 2.8877
-2.6615 -1.0094 3.3713


(5)
KTeMo2Pt, relaxed, DFT PBE; symmetry = P4/mmm (123); energy relative to the elements, uncorrected = 31.61 kcal/mol of atoms; DOS at the Fermi energy = 4.044 states/eV/cell; energy = -5.018 eV/atom
1.0
5.1768 0.0000 0.0000
0.0000 5.1578 0.0000
0.0000 0.0000 5.1768
Te K Mo Pt
1 1 2 1
Cartesian
0.0000 0.0000 0.0000
2.5884 2.5789 2.5884
0.0000 0.0000 2.5884
2.5884 0.0000 0.0000
0.0000 2.5789 0.0000


(6)
KTiMoPt2, relaxed, DFT PBE; symmetry = P4/mmm (123); E_form = 1.370 eV per atom; DOS at the Fermi energy = 9.845 states/eV/cell; energy = -5.011 eV/atom
1.0
-0.5869 2.8662 3.9040
3.0506 -2.9511 2.6252
3.8162 2.6951 -1.4050
Pt Mo Ti K
2 1 1 1
Cartesian
1.9081 1.3475 -0.7025
-0.2934 1.4331 1.9520
0.0000 0.0000 0.0000
3.1400 1.3051 2.5621
1.5253 -1.4755 1.3126


(7)
KTlMoPt2, relaxed, DFT PBE; symmetry = P4/mmm (123); E_form = 1.253 eV per atom; DOS at the Fermi energy = 2.659 states/eV/cell; energy = -4.022 eV/atom
1.0
5.2184 0.0000 0.0000
0.0000 5.2184 0.0000
0.0000 0.0000 5.3473
Tl Pt Mo K
1 2 1 1
Cartesian
0.0000 0.0000 0.0000
0.0000 2.6092 0.0000
2.6092 0.0000 0.0000
0.0000 0.0000 2.6736
2.6092 2.6092 2.6736


(8)
K3Pu3MoS8, relaxed, DFT PBE; symmetry = C2/m (12); energy relative to the elements, uncorrected = -30.57 kcal/mol of atoms; DOS at the Fermi energy = 32.115 states/eV/cell; energy = -7.335 eV/atom
1.0
7.9133 0.0156 0.0060
-3.9431 6.8624 -0.0338
-0.0033 -4.5535 7.5163
K S Pu Mo
3 8 3 1
Cartesian
-1.9716 3.4312 -0.0169
0.0000 0.0000 0.0000
1.9851 3.4390 -0.0139
-0.0045 2.3044 2.2046
6.0681 -1.2022 2.3552
1.8301 -1.2231 2.3469
-0.0004 -0.1551 5.1566
2.1368 3.5477 5.1416
3.9673 2.4796 2.3319
-2.1012 3.5267 5.1333
3.9714 0.0201 5.2839
-1.9732 1.1545 3.7412
1.9834 1.1623 3.7442
3.9550 -2.2689 3.7611
-0.0017 -2.2767 3.7581


(9)
KRbMo3, relaxed, DFT PBE; symmetry = Pm-3m (221); E_form = 3.409 eV per atom; DOS at the Fermi energy = 8.440 states/eV/cell; energy = -3.502 eV/atom; energy above the most stable polymorph in this dataset = 191 meV per atom
1.0
-1.9240 1.0288 4.4014
0.8361 -4.6200 1.4454
4.4421 1.3152 1.6343
Mo Rb K
3 1 1
Cartesian
-0.9620 0.5144 2.2007
0.4181 -2.3100 0.7227
2.2210 0.6576 0.8172
0.0000 0.0000 0.0000
1.6771 -1.1380 3.7406


(10)
KRbMo3, relaxed, DFT PBE; symmetry = Pm-3m (221); E_form = 3.219 eV per atom; DOS at the Fermi energy = 1.686 states/eV/cell; energy = -3.693 eV/atom; energy above the most stable polymorph in this dataset = 0 meV per atom
1.0
-1.9691 -2.9736 -5.3146
-4.0682 -3.5141 3.4735
-4.5317 4.4467 -0.8090
K Mo Rb
1 3 1
Cartesian
0.0000 0.0000 0.0000
-0.9845 -1.4868 -2.6573
-2.2659 2.2234 -0.4045
-2.0341 -1.7570 1.7368
-5.2845 -1.0205 -1.3250


(11)
K2RbMo, relaxed, DFT PBE; symmetry = Fm-3m (225); E_form = 1.166 eV per atom; DOS at the Fermi energy = 3.313 states/eV/cell; energy = -2.333 eV/atom; energy above the most stable polymorph in this dataset = 0 meV per atom
1.0
-3.4738 -3.6608 4.2854
-4.8083 2.7874 3.5977
-6.3372 -1.4457 -1.2578
K Rb Mo
2 1 1
Cartesian
-10.9645 -1.7393 4.9689
-3.6548 -0.5798 1.6563
0.0000 0.0000 0.0000
-7.3096 -1.1595 3.3126


(12)
KRbMo2, relaxed, DFT PBE; symmetry = I-42d (122); E_form = 2.252 eV per atom; DOS at the Fermi energy = 11.705 states/eV/cell; energy = -3.680 eV/atom; energy above the most stable polymorph in this dataset = 0 meV per atom
1.0
-1.1385 -9.6546 0.5243
8.7308 -0.7997 4.2328
2.6223 -4.9544 4.8512
K Rb Mo
2 2 4
Cartesian
3.7961 -5.2271 2.3785
7.5746 -5.4906 5.7313
2.6400 -9.9181 3.8770
0.0000 0.0000 0.0000
5.9679 -2.9631 3.9248
1.0375 -7.3548 2.0686
8.5938 -12.8618 7.7930
4.8300 -7.6377 5.4302


(13)
KRbMo2, relaxed, DFT PBE; symmetry = Fm-3m (225); E_form = 2.360 eV per atom; DOS at the Fermi energy = 2.149 states/eV/cell; energy = -3.572 eV/atom; energy above the most stable polymorph in this dataset = 108 meV per atom
1.0
0.0000 4.3766 4.3766
4.3766 0.0000 4.3766
4.3766 4.3766 0.0000
Rb K Mo
1 1 2
Cartesian
4.3766 4.3766 4.3766
0.0000 0.0000 0.0000
6.5648 6.5648 6.5648
2.1883 2.1883 2.1883


(14)
K2RbMo, relaxed, DFT PBE; symmetry = I-42d (122); E_form = 1.260 eV per atom; DOS at the Fermi energy = 5.342 states/eV/cell; energy = -2.238 eV/atom; energy above the most stable polymorph in this dataset = 94 meV per atom
1.0
5.7303 0.0000 0.0000
0.0000 5.7303 0.0000
2.8652 2.8652 13.9822
Mo K Rb
2 4 2
Cartesian
5.7303 2.8652 6.9911
0.0000 0.0000 0.0000
1.2799 4.2977 3.4955
4.4504 1.4326 3.4955
4.2977 4.1450 10.4866
7.1629 7.3156 10.4866
2.8652 5.7303 6.9911
2.8652 2.8652 0.0000


(15)
K2RbMoS4, relaxed, DFT PBE; symmetry = I-4 (82); energy relative to the elements, uncorrected = -21.37 kcal/mol of atoms; DOS at the Fermi energy = 4.792 states/eV/cell; energy = -4.739 eV/atom
1.0
-4.2013 3.5370 -4.4728
-3.6631 -1.5875 5.8505
5.5819 4.0469 1.6223
S K Rb Mo
4 2 1 1
Cartesian
0.2985 3.1754 4.6587
-0.8606 0.0109 3.2119
-1.9718 3.6019 0.7138
-2.0311 5.2048 -2.5844
-3.4525 1.5896 2.5571
0.0000 0.0000 0.0000
1.1700 4.4068 0.4429
0.9594 1.2297 3.7364